1.
The following is a PBE calculation of a relaxed VCr2ReN crystal, from Alexandria.

```
5
Lattice="3.826 0.000 0.000 0.000 3.826 0.000 0.000 0.000 3.927" Properties=species:S:1:pos:R:3 pbc="T T T"
Re 1.913 1.913 1.964
N 0.000 0.000 0.000
V 0.000 0.000 1.964
Cr 0.000 1.913 0.000
Cr 1.913 0.000 0.000
```

## Properties
mass density = 10.26 g cm⁻³

***

2.
The following is a PBE calculation of a relaxed Cr2ReWN crystal, from Alexandria.

```
5
Lattice="3.872 0.000 0.000 0.000 3.872 0.000 0.000 0.000 4.062" Properties=species:S:1:pos:R:3 pbc="T T T"
Re 1.936 1.936 2.031
N 0.000 0.000 0.000
W 0.000 0.000 2.031
Cr 0.000 1.936 0.000
Cr 1.936 0.000 0.000
```

## Properties
mass density = 13.30 g cm⁻³

***

3.
The following is a PBE calculation of a relaxed Zn2CrReN crystal, from Alexandria.

```
5
Lattice="-3.828 1.235 2.589 -2.531 -2.507 -2.547 0.764 -3.723 2.905" Properties=species:S:1:pos:R:3 pbc="T T T"
Re -1.266 -1.253 -1.273
Zn 0.382 -1.861 1.453
Zn -1.914 0.617 1.295
N -2.798 -2.497 1.474
Cr 0.000 0.000 0.000
```

## Properties
mass density = 6.35 g cm⁻³

***

4.
The following is a PBE calculation of a relaxed CrRhN crystal, from Alexandria.

```
3
Lattice="-3.099 -0.166 0.420 1.401 -1.876 -2.080 0.533 -2.759 2.847" Properties=species:S:1:pos:R:3 pbc="T T T"
Cr -1.510 -1.195 0.060
Rh 0.257 -3.144 0.650
N 0.089 -0.461 0.475
```

## Properties
mass density = 8.26 g cm⁻³

***

5.
The following is a PBE calculation of a relaxed Cr3RhN crystal, from Alexandria.

```
5
Lattice="-0.476 -4.065 -1.722 -0.888 -1.608 4.042 -4.325 0.778 -0.640" Properties=species:S:1:pos:R:3 pbc="T T T"
Cr -0.444 -0.804 2.021
Cr -2.162 0.389 -0.320
Cr -0.238 -2.033 -0.861
Rh 0.000 0.000 0.000
N -2.844 -2.448 0.840
```

## Properties
mass density = 5.18 g cm⁻³

***

6.
The following is a PBE calculation of a relaxed Cr3RhN crystal, from Alexandria.

```
5
Lattice="-3.180 -1.518 -1.471 2.094 -1.894 -2.571 0.292 -2.948 2.410" Properties=species:S:1:pos:R:3 pbc="T T T"
Cr 1.047 -0.947 -1.286
Cr 0.146 -1.474 1.205
Cr -1.590 -0.759 -0.736
Rh -0.397 -3.180 -0.816
N 0.000 0.000 0.000
```

## Properties
mass density = 8.14 g cm⁻³

***

7.
The following is a PBE calculation of a relaxed CrRh3N crystal, from Alexandria.

```
5
Lattice="4.061 0.000 0.000 0.000 4.061 0.000 0.000 0.000 4.061" Properties=species:S:1:pos:R:3 pbc="T T T"
Cr 2.031 2.031 2.031
Rh 0.000 2.031 0.000
Rh 0.000 0.000 2.031
Rh 2.031 0.000 0.000
N 0.000 0.000 0.000
```

## Properties
mass density = 9.29 g cm⁻³

***

8.
The following is a PBE calculation of a relaxed CrRh3N crystal, from Alexandria.

```
5
Lattice="-2.547 3.471 -1.135 -2.508 -2.669 -2.531 -2.654 -0.809 3.483" Properties=species:S:1:pos:R:3 pbc="T T T"
Cr 0.000 0.000 0.000
Rh -1.254 -1.335 -1.266
Rh -1.327 -0.404 1.741
Rh -1.274 1.735 -0.568
N -3.855 -0.004 -0.092
```

## Properties
mass density = 7.05 g cm⁻³

***

no.,DOS at the Fermi energy (states/eV per cell),spin magnetization (μB per atom),formation energy without anion corrections (meV/atom)
1,5.86,0.0017,-264
2,4.79,0.0001,-86
3,3.72,0.3494,2139
4,2.33,0.0000,-18
5,11.05,0.1686,2614
6,6.24,0.1455,-255
7,6.23,0.7495,240
8,5.68,0.5514,2053